Entry 1:
VASP calculation (PBEsol) on an optimized crystal structure of CrCo2Cl.

Lattice parameters (Å, degrees): 2.7305 2.7305 22.2152 90.00 90.00 120.00
Space group R-3m (No. 166, hexagonal axes)
One atom of each set of equivalent atoms:
1 Cr 0.0000 0.0000 0.0000 x3
2 Co 0.0000 0.0000 0.2520 x6
3 Cl 0.0000 0.0000 0.5000 x3

## Properties
The crystal system is trigonal. The distance to the lowest polymorph of the same formula comes out at 0.0 meV/atom.

Entry 2:
VASP calculation (PBEsol) on an optimized crystal structure of CrCoCl2.

Lattice parameters (Å, degrees): 6.2083 6.2083 6.2083 90.00 90.00 90.00
Space group Fm-3m (No. 225)
One atom of each set of equivalent atoms:
1 Cr 0.0000 0.0000 0.0000 x4
2 Co 0.0000 0.0000 0.5000 x4
3 Cl 0.2500 0.2500 0.2500 x8

## Properties
The crystal system is cubic. The distance to the lowest polymorph of the same formula comes out at 0.0 meV/atom.

Entry 3:
VASP calculation (PBEsol) on an optimized crystal structure of Cr2CoCl.

Lattice parameters (Å, degrees): 2.8387 3.1970 6.1410 90.00 90.00 90.00
Space group Pmmm (No. 47)
One atom of each set of equivalent atoms:
1 Cr 0.0000 0.0000 0.1719 x2
2 Co 0.5000 0.5000 0.0000 x1
3 Cl 0.5000 0.0000 0.5000 x1

## Properties
The crystal system is orthorhombic.

Entry 4:
VASP calculation (PBEsol) on an optimized crystal structure of CrCoCl2.

Lattice parameters (Å, degrees): 3.1582 3.1582 6.1912 90.00 90.00 90.00
Space group P4/mmm (No. 123)
One atom of each set of equivalent atoms:
1 Cr 0.0000 0.0000 0.0000 x1
2 Co 0.0000 0.0000 0.5000 x1
3 Cl 0.5000 0.5000 0.2588 x2

## Properties
The crystal system is tetragonal. The distance to the lowest polymorph of the same formula comes out at 64.9 meV/atom.

The records above give, respectively, E_form (uncorrected) values of 0.401; 0.410; 0.375; 0.475 eV/atom.